## Sr4Mg3Ir2 (PBE)

Data for a relaxed structure of Sr4Mg3Ir2.

Cell and atoms, written as POSCAR:
```
Sr4Mg3Ir2
1.0
4.173 0.000 -1.150
-0.673 7.517 -2.443
0.161 -0.158 8.726
Sr Mg Ir
4 3 2
Direct
0.228 0.673 0.456 Sr
0.772 0.327 0.544 Sr
0.575 0.847 0.151 Sr
0.425 0.153 0.849 Sr
0.094 0.244 0.189 Mg
0.906 0.756 0.811 Mg
0.000 0.500 0.000 Mg
0.402 0.551 0.805 Ir
0.598 0.449 0.195 Ir
```

Computed properties:
The crystal system is monoclinic. The value obtained for the formation enthalpy at 0 K is -0.214 eV per atom. Its space group is C2/m, No. 12. As for the density of states at the Fermi level: 0.6357 states/eV/atom.


## PmNiRuPb (PBE)

Data for a relaxed structure of PmNiRuPb.

Cell and atoms, written as POSCAR:
```
PmNiRuPb
1.0
-4.466 -1.653 -0.427
-1.726 -3.082 3.222
-3.374 1.404 3.083
Pb Ru Ni Pm
1 1 1 1
Direct
0.500 0.500 0.500 Pb
0.750 0.750 0.750 Ru
0.250 0.250 0.250 Ni
0.000 0.000 0.000 Pm
```

Computed properties:
The crystal system is cubic. The value obtained for the formation enthalpy at 0 K is -0.034 eV per atom. Its space group is F-43m, No. 216. As for the density of states at the Fermi level: 0.9534 states/eV/atom.


## LaMnBiRh2 (PBE)

Data for a relaxed structure of LaMnBiRh2.

Cell and atoms, written as POSCAR:
```
LaMnBiRh2
1.0
-1.555 -3.526 2.746
3.981 -2.779 -1.316
2.440 1.767 3.650
Mn Rh Bi La
1 2 1 1
Direct
0.000 0.000 0.000 Mn
0.000 0.000 0.500 Rh
0.500 0.000 0.000 Rh
0.000 0.500 0.000 Bi
0.500 0.500 0.500 La
```

Computed properties:
The crystal system is tetragonal. The value obtained for the formation enthalpy at 0 K is 0.180 eV per atom. Its space group is P4/mmm, No. 123. As for the density of states at the Fermi level: 1.7841 states/eV/atom.


## LaHo3Er4 (PBE)

Data for a relaxed structure of LaHo3Er4.

Cell and atoms, written as POSCAR:
```
LaHo3Er4
1.0
3.329 0.192 0.729
0.803 8.520 2.161
-0.101 -0.959 8.773
Er Ho La
4 3 1
Direct
0.635 0.117 0.613 Er
0.365 0.883 0.387 Er
0.366 0.387 0.883 Er
0.634 0.613 0.117 Er
0.756 0.243 0.243 Ho
0.244 0.757 0.757 Ho
0.000 0.500 0.500 Ho
0.500 0.000 0.000 La
```

Computed properties:
The crystal system is monoclinic. The value obtained for the formation enthalpy at 0 K is 0.146 eV per atom. Its space group is C2/m, No. 12. As for the density of states at the Fermi level: 1.8371 states/eV/atom.


## ZnNi3Pt (PBE)

Data for a relaxed structure of ZnNi3Pt.

Cell and atoms, written as POSCAR:
```
ZnNi3Pt
1.0
-2.852 2.575 -1.814
-2.995 -1.462 2.635
0.973 3.047 2.797
Ni Zn Pt
3 1 1
Direct
0.000 0.500 0.000 Ni
0.000 0.000 0.500 Ni
0.500 0.000 0.000 Ni
0.000 0.000 0.000 Zn
0.500 0.500 0.500 Pt
```

Computed properties:
The crystal system is cubic. The value obtained for the formation enthalpy at 0 K is 0.956 eV per atom. Its space group is Pm-3m, No. 221. As for the density of states at the Fermi level: 1.7219 states/eV/atom.


## HOs3I (PBE)

Data for a relaxed structure of HOs3I.

Cell and atoms, written as POSCAR:
```
HOs3I
1.0
4.873 0.000 0.000
0.000 4.873 0.000
0.000 0.000 4.873
I H Os
1 1 3
Direct
0.000 0.000 0.000 I
0.500 0.500 0.500 H
0.000 0.500 0.000 Os
0.000 0.000 0.500 Os
0.500 0.000 0.000 Os
```

Computed properties:
The crystal system is cubic. Its space group is Pm-3m, No. 221. For the final energy, the calculation gives -4.265 eV/atom. As for the density of states at the Fermi level: 1.0560 states/eV/atom.


## Ir3Au (PBE)

Data for a relaxed structure of Ir3Au.

Cell and atoms, written as POSCAR:
```
Ir3Au
1.0
4.812 0.007 0.003
3.998 2.678 0.003
-9.623 -2.933 4.768
Au Ir
1 3
Direct
0.000 0.000 0.000 Au
0.024 0.024 0.266 Ir
0.000 0.000 0.500 Ir
0.976 0.976 0.734 Ir
```

Computed properties:
The crystal system is monoclinic. The value obtained for the formation enthalpy at 0 K is 0.288 eV per atom. Its space group is C2/m, No. 12. As for the density of states at the Fermi level: 0.9567 states/eV/atom.


## CsRbAlF6 (PBE)

Data for a relaxed structure of CsRbAlF6.

Cell and atoms, written as POSCAR:
```
CsRbAlF6
1.0
-4.741 3.812 0.297
-4.520 -1.060 3.943
2.417 2.731 3.501
Cs Rb Al F
1 1 1 6
Direct
0.000 0.000 0.131 Cs
0.667 0.667 0.723 Rb
0.333 0.333 0.449 Al
0.046 0.477 0.247 F
0.191 0.190 0.653 F
0.619 0.190 0.653 F
0.191 0.618 0.654 F
0.477 0.477 0.247 F
0.477 0.047 0.246 F
```

Computed properties:
The crystal system is trigonal. Its space group is P3m1, No. 156. The value obtained for the energy relative to the elements, uncorrected is -2.863 eV per atom. As for the density of states at the Fermi level: 1.0998 states/eV/atom.


## Na2ScTi (PBE)

Data for a relaxed structure of Na2ScTi.

Cell and atoms, written as POSCAR:
```
Na2ScTi
1.0
-3.588 -7.573 1.276
4.788 -1.104 6.907
-1.363 -3.147 5.643
Sc Na Ti
2 4 2
Direct
0.500 0.500 0.000 Sc
0.250 0.750 0.500 Sc
0.634 0.125 0.250 Na
0.116 0.625 0.250 Na
0.375 0.366 0.750 Na
0.875 0.884 0.750 Na
0.000 0.000 0.000 Ti
0.750 0.250 0.500 Ti
```

Computed properties:
The crystal system is tetragonal. The value obtained for the formation enthalpy at 0 K is 0.922 eV per atom. Its space group is I-42d, No. 122. As for the density of states at the Fermi level: 1.4860 states/eV/atom.


## LiSi2Ru (PBE)

Data for a relaxed structure of LiSi2Ru.

Cell and atoms, written as POSCAR:
```
LiSi2Ru
1.0
2.855 0.000 0.000
0.000 2.855 0.000
0.000 0.000 7.250
Li Ru Si
1 1 2
Direct
0.500 0.500 0.250 Li
0.500 0.500 0.750 Ru
0.000 0.000 0.960 Si
0.000 0.000 0.540 Si
```

Computed properties:
The crystal system is tetragonal. Its space group is P4/mmm, No. 123. The value obtained for the energy relative to the elements, uncorrected is -0.272 eV per atom. As for the density of states at the Fermi level: 0.3636 states/eV/atom.


## Ti2Tc3W (PBE)

Data for a relaxed structure of Ti2Tc3W.

Cell and atoms, written as POSCAR:
```
Ti2Tc3W
1.0
-1.245 1.963 2.064
-3.953 -1.867 -0.609
3.255 -3.358 5.157
Ti Tc W
2 3 1
Direct
0.000 0.332 0.665 Ti
0.000 0.668 0.335 Ti
0.500 0.500 0.000 Tc
0.500 0.835 0.670 Tc
0.500 0.165 0.330 Tc
0.000 0.000 0.000 W
```

Computed properties:
The crystal system is orthorhombic. The value obtained for the formation enthalpy at 0 K is -0.436 eV per atom. Its space group is Cmmm, No. 65. As for the density of states at the Fermi level: 0.6665 states/eV/atom.


## CoSb3 (PBE)

Data for a relaxed structure of CoSb3.

Cell and atoms, written as POSCAR:
```
CoSb3
1.0
4.229 -6.522 0.000
4.229 6.522 0.000
0.000 0.000 3.810
Co Sb
2 6
Direct
0.569 0.431 0.750 Co
0.431 0.569 0.250 Co
0.239 0.761 0.750 Sb
0.761 0.239 0.250 Sb
0.621 0.810 0.750 Sb
0.379 0.190 0.250 Sb
0.810 0.621 0.250 Sb
0.190 0.379 0.750 Sb
```

Computed properties:
The crystal system is orthorhombic. Its space group is Cmcm, No. 63. The value obtained for the energy relative to the elements, uncorrected is 0.144 eV per atom. As for the density of states at the Fermi level: 0.4789 states/eV/atom.